Computed, not measured: a relaxed KSc2VBi crystal at the GGA-PBE level of DFT.

a b c (Å): 5.1396 5.1396 4.7157
angles (deg): 90.00 90.00 90.00
Closest atoms and distances in Å follow each position.
Space group P4/mmm (No. 123)
Inequivalent atoms, fractional coordinates:
K: 0.0000 0.0000 0.0000 [1 per cell]  2 V 2.36, 4 Sc 2.57
Sc: 0.0000 0.5000 0.0000 [2 per cell]  2 K 2.57
V: 0.0000 0.0000 0.5000 [1 per cell]  2 K 2.36
Bi: 0.5000 0.5000 0.5000 [1 per cell]  8 Sc 3.49, 4 V 3.63

M_tot: 0.520 μB/atom
VASP energy: -19.27 eV for the cell shown